1.
# Cs2HgF4 (PBE-GGA, optimized geometry)
data_Cs2HgF4
_chemical_formula_sum 'Cs4 Hg2 F8'
_cell_length_a 4.744
_cell_length_b 4.744
_cell_length_c 14.658
_cell_angle_alpha 90.00
_cell_angle_beta 90.00
_cell_angle_gamma 90.00
_space_group_name_H-M_alt 'I 4/m m m'
_space_group_IT_number 139
_space_group_name_Hall '-I 4 2'
loop_
_atom_site_label
_atom_site_fract_x
_atom_site_fract_y
_atom_site_fract_z
Cs1 0.000 0.000 0.143
Hg1 0.000 0.000 0.500
F1 0.000 0.000 0.345
F2 0.000 0.500 0.000
# Offset from the most stable computed form, kJ per mole of atoms: 0.0
# Density of states at the Fermi level, states/eV/cell: 0.0

---

2.
# Cs3HgF4 (PBE-GGA, optimized geometry)
data_Cs3HgF4
_chemical_formula_sum 'Cs6 Hg2 F8'
_cell_length_a 7.396
_cell_length_b 7.396
_cell_length_c 7.396
_cell_angle_alpha 90.00
_cell_angle_beta 90.00
_cell_angle_gamma 90.00
_space_group_name_H-M_alt 'I -4 3 m'
_space_group_IT_number 217
_space_group_name_Hall 'I -4 2 3'
loop_
_atom_site_label
_atom_site_fract_x
_atom_site_fract_y
_atom_site_fract_z
Cs1 0.000 0.000 0.500
Hg1 0.000 0.000 0.000
F1 0.201 0.201 0.201
# Density of states at the Fermi level, states/eV/cell: 6.8

---

3.
# CsHg2F7 (PBE-GGA, optimized geometry)
data_CsHg2F7
_chemical_formula_sum 'Cs2 Hg4 F14'
_cell_length_a 6.616
_cell_length_b 13.260
_cell_length_c 4.394
_cell_angle_alpha 90.00
_cell_angle_beta 90.00
_cell_angle_gamma 90.00
_space_group_name_H-M_alt 'C m m m'
_space_group_IT_number 65
_space_group_name_Hall '-C 2 2'
loop_
_atom_site_label
_atom_site_fract_x
_atom_site_fract_y
_atom_site_fract_z
Cs1 0.000 0.000 0.000
Hg1 0.000 0.329 0.500
F1 0.000 0.324 0.000
F2 0.000 0.500 0.500
F3 0.186 0.155 0.500
# Density of states at the Fermi level, states/eV/cell: 8.9

---

4.
# Cs6Hg2F (PBE-GGA, optimized geometry)
data_Cs6Hg2F
_chemical_formula_sum 'Cs12 Hg4 F2'
_cell_length_a 8.728
_cell_length_b 10.102
_cell_length_c 15.026
_cell_angle_alpha 90.00
_cell_angle_beta 123.95
_cell_angle_gamma 90.00
_space_group_name_H-M_alt 'P 1 21/c 1'
_space_group_IT_number 14
loop_
_space_group_symop_operation_xyz
'x,y,z'
'-x,-y,-z'
'-x,y+1/2,-z+1/2'
'x,-y+1/2,z+1/2'
loop_
_atom_site_label
_atom_site_fract_x
_atom_site_fract_y
_atom_site_fract_z
Cs1 0.123 0.024 0.232
Cs2 0.210 0.701 0.055
Cs3 0.347 0.155 0.050
Hg1 0.294 0.110 0.747
F1 0.000 0.000 0.000
# Density of states at the Fermi level, states/eV/cell: 12.7

---

5.
# CsHgF3 (PBE-GGA, optimized geometry)
data_CsHgF3
_chemical_formula_sum 'Cs2 Hg2 F6'
_cell_length_a 3.873
_cell_length_b 7.627
_cell_length_c 8.045
_cell_angle_alpha 70.99
_cell_angle_beta 88.50
_cell_angle_gamma 88.70
_space_group_name_H-M_alt 'P -1'
_space_group_IT_number 2
loop_
_space_group_symop_operation_xyz
'x,y,z'
'-x,-y,-z'
loop_
_atom_site_label
_atom_site_fract_x
_atom_site_fract_y
_atom_site_fract_z
Cs1 0.250 0.212 0.222
Hg1 0.254 0.682 0.330
F1 0.245 0.691 0.064
F2 0.251 0.574 0.618
F3 0.254 0.130 0.654
# Density of states at the Fermi level, states/eV/cell: 0.0

---

6.
# Cs2HgF (PBE-GGA, optimized geometry)
data_Cs2HgF
_chemical_formula_sum 'Cs4 Hg2 F2'
_cell_length_a 7.129
_cell_length_b 7.939
_cell_length_c 8.274
_cell_angle_alpha 78.97
_cell_angle_beta 64.53
_cell_angle_gamma 63.45
_space_group_name_H-M_alt 'P 1'
_space_group_IT_number 1
loop_
_space_group_symop_operation_xyz
'x,y,z'
loop_
_atom_site_label
_atom_site_fract_x
_atom_site_fract_y
_atom_site_fract_z
Cs1 0.000 0.000 0.000
Cs2 0.192 0.271 0.287
Cs3 0.506 0.604 0.288
Cs4 0.712 0.002 0.575
Hg1 0.083 0.500 0.806
Hg2 0.605 0.500 0.769
F1 0.140 0.942 0.288
F2 0.603 0.211 0.287
# Offset from the most stable computed form, kJ per mole of atoms: 4.0
# Density of states at the Fermi level, states/eV/cell: 3.9

---

7.
# CsHg5F11 (PBE-GGA, optimized geometry)
data_CsHg5F11
_chemical_formula_sum 'Cs2 Hg10 F22'
_cell_length_a 10.044
_cell_length_b 11.430
_cell_length_c 6.315
_cell_angle_alpha 90.00
_cell_angle_beta 115.35
_cell_angle_gamma 90.00
_space_group_name_H-M_alt 'C 1 2/m 1'
_space_group_IT_number 12
loop_
_space_group_symop_operation_xyz
'x,y,z'
'-x,-y,-z'
'-x,y,-z'
'x,-y,z'
'x+1/2,y+1/2,z'
'-x+1/2,-y+1/2,-z'
'-x+1/2,y+1/2,-z'
'x+1/2,-y+1/2,z'
loop_
_atom_site_label
_atom_site_fract_x
_atom_site_fract_y
_atom_site_fract_z
Cs1 0.000 0.000 0.000
Hg1 0.000 0.500 0.000
Hg2 0.183 0.182 0.693
F1 0.000 0.000 0.500
F2 0.086 0.227 0.335
F3 0.166 0.500 0.336
F4 0.210 0.369 0.952
# Density of states at the Fermi level, states/eV/cell: 0.0

---

8.
# Cs4HgF (PBE-GGA, optimized geometry)
data_Cs4HgF
_chemical_formula_sum 'Cs16 Hg4 F4'
_cell_length_a 11.265
_cell_length_b 12.412
_cell_length_c 14.491
_cell_angle_alpha 90.00
_cell_angle_beta 126.69
_cell_angle_gamma 90.00
_space_group_name_H-M_alt 'P 1 21/c 1'
_space_group_IT_number 14
loop_
_space_group_symop_operation_xyz
'x,y,z'
'-x,-y,-z'
'-x,y+1/2,-z+1/2'
'x,-y+1/2,z+1/2'
loop_
_atom_site_label
_atom_site_fract_x
_atom_site_fract_y
_atom_site_fract_z
Cs1 0.118 0.211 0.389
Cs2 0.157 0.612 0.478
Cs3 0.313 0.508 0.247
Cs4 0.361 0.649 0.887
Hg1 0.320 0.154 0.225
F1 0.178 0.667 0.299
# Density of states at the Fermi level, states/eV/cell: 16.7

---

9.
Material: Cs2HgF6
Method: DFT, PBE-GGA
State: optimized geometry

The structure in CIF format:
```
data_Cs2HgF6
_chemical_formula_sum 'Cs8 Hg4 F24'
_cell_length_a 9.332
_cell_length_b 9.332
_cell_length_c 9.332
_cell_angle_alpha 90.00
_cell_angle_beta 90.00
_cell_angle_gamma 90.00
_space_group_name_H-M_alt 'F m -3 m'
_space_group_IT_number 225
_space_group_name_Hall '-F 4 2 3'
loop_
_atom_site_label
_atom_site_fract_x
_atom_site_fract_y
_atom_site_fract_z
Cs1 0.250 0.250 0.250
Hg1 0.000 0.000 0.000
F1 0.000 0.000 0.228
```

---

10.
# Cs4Hg3F12 (PBE-GGA, optimized geometry)
data_Cs4Hg3F12
_chemical_formula_sum 'Cs8 Hg6 F24'
_cell_length_a 10.317
_cell_length_b 10.317
_cell_length_c 10.317
_cell_angle_alpha 90.00
_cell_angle_beta 90.00
_cell_angle_gamma 90.00
_space_group_name_H-M_alt 'I m -3'
_space_group_IT_number 204
_space_group_name_Hall '-I 2 2 3'
loop_
_atom_site_label
_atom_site_fract_x
_atom_site_fract_y
_atom_site_fract_z
Cs1 0.250 0.250 0.250
Hg1 0.000 0.000 0.500
F1 0.000 0.356 0.147
# Density of states at the Fermi level, states/eV/cell: 16.0

---

11.
# CsHgF3 (PBE-GGA, optimized geometry)
data_CsHgF3
_chemical_formula_sum 'Cs2 Hg2 F6'
_cell_length_a 6.376
_cell_length_b 4.790
_cell_length_c 6.980
_cell_angle_alpha 90.00
_cell_angle_beta 90.00
_cell_angle_gamma 90.00
_space_group_name_H-M_alt 'P m m a'
_space_group_IT_number 51
loop_
_space_group_symop_operation_xyz
'x,y,z'
'-x,-y,-z'
'-x+1/2,-y,z'
'x+1/2,y,-z'
'x+1/2,-y,-z'
'-x+1/2,y,z'
'-x,y,-z'
'x,-y,z'
loop_
_atom_site_label
_atom_site_fract_x
_atom_site_fract_y
_atom_site_fract_z
Cs1 0.250 0.000 0.219
Hg1 0.250 0.500 0.758
F1 0.000 0.500 0.000
F2 0.250 0.000 0.773
F3 0.250 0.500 0.451
# Density of states at the Fermi level, states/eV/cell: 0.0

---

12.
# Cs2HgF (PBE-GGA, optimized geometry)
data_Cs2HgF
_chemical_formula_sum 'Cs6 Hg3 F3'
_cell_length_a 4.4841
_cell_length_b 4.4841
_cell_length_c 27.7482
_cell_angle_alpha 90.00
_cell_angle_beta 90.00
_cell_angle_gamma 120.00
_space_group_name_H-M_alt 'R 3 m'
_space_group_IT_number 160
_space_group_name_Hall 'R 3 -2"'
loop_
_atom_site_label
_atom_site_fract_x
_atom_site_fract_y
_atom_site_fract_z
Cs1 0.0000 0.0000 0.0000
Cs2 0.0000 0.0000 0.2095
Hg1 0.0000 0.0000 0.7721
F1 0.0000 0.0000 0.6057
# Offset from the most stable computed form, kJ per mole of atoms: 7.8
# Density of states at the Fermi level, states/eV/cell: 8.6

---

13.
# Cs2HgF4 (PBE-GGA, optimized geometry)
data_Cs2HgF4
_chemical_formula_sum 'Cs4 Hg2 F8'
_cell_length_a 7.399
_cell_length_b 6.298
_cell_length_c 7.632
_cell_angle_alpha 90.00
_cell_angle_beta 113.77
_cell_angle_gamma 90.00
_space_group_name_H-M_alt 'P 1 21/m 1'
_space_group_IT_number 11
loop_
_space_group_symop_operation_xyz
'x,y,z'
'-x,-y,-z'
'-x,y+1/2,-z'
'x,-y+1/2,z'
loop_
_atom_site_label
_atom_site_fract_x
_atom_site_fract_y
_atom_site_fract_z
Cs1 0.001 0.250 0.153
Cs2 0.344 0.750 0.518
Hg1 0.376 0.250 0.872
F1 0.043 0.250 0.789
F2 0.295 0.250 0.546
F3 0.379 0.001 0.114
# Offset from the most stable computed form, kJ per mole of atoms: 3.9
# Density of states at the Fermi level, states/eV/cell: 0.0

---

14.
# Cs2Hg2F (PBE-GGA, optimized geometry)
data_Cs2Hg2F
_chemical_formula_sum 'Cs4 Hg4 F2'
_cell_length_a 8.148
_cell_length_b 8.148
_cell_length_c 6.864
_cell_angle_alpha 90.00
_cell_angle_beta 90.00
_cell_angle_gamma 90.00
_space_group_name_H-M_alt 'P 4/m b m'
_space_group_IT_number 127
_space_group_name_Hall '-P 4 2ab'
loop_
_atom_site_label
_atom_site_fract_x
_atom_site_fract_y
_atom_site_fract_z
Cs1 0.205 0.295 0.000
Hg1 0.135 0.635 0.500
F1 0.000 0.000 0.000
# Density of states at the Fermi level, states/eV/cell: 8.2

---

15.
# CsHg2F (PBE-GGA, optimized geometry)
data_CsHg2F
_chemical_formula_sum 'Cs2 Hg4 F2'
_cell_length_a 4.236
_cell_length_b 4.238
_cell_length_c 14.852
_cell_angle_alpha 90.00
_cell_angle_beta 90.11
_cell_angle_gamma 90.00
_space_group_name_H-M_alt 'P 1 21 1'
_space_group_IT_number 4
loop_
_space_group_symop_operation_xyz
'x,y,z'
'-x,y+1/2,-z'
loop_
_atom_site_label
_atom_site_fract_x
_atom_site_fract_y
_atom_site_fract_z
Cs1 0.249 0.000 0.394
Hg1 0.247 0.004 0.067
Hg2 0.253 0.004 0.816
F1 0.251 0.000 0.593
# Offset from the most stable computed form, kJ per mole of atoms: 0.0
# Density of states at the Fermi level, states/eV/cell: 0.1

---

16.
# CsHg2F (PBE-GGA, optimized geometry)
data_CsHg2F
_chemical_formula_sum 'Cs4 Hg8 F4'
_cell_length_a 10.973
_cell_length_b 10.973
_cell_length_c 5.516
_cell_angle_alpha 90.00
_cell_angle_beta 90.00
_cell_angle_gamma 90.00
_space_group_name_H-M_alt 'I -4 2 d'
_space_group_IT_number 122
_space_group_name_Hall 'I -4 2bw'
loop_
_atom_site_label
_atom_site_fract_x
_atom_site_fract_y
_atom_site_fract_z
Cs1 0.000 0.000 0.000
Hg1 0.163 0.250 0.625
F1 0.000 0.000 0.500
# Offset from the most stable computed form, kJ per mole of atoms: 17.5
# Density of states at the Fermi level, states/eV/cell: 0.0

---

17.
# CsHgF3 (PBE-GGA, optimized geometry)
data_CsHgF3
_chemical_formula_sum 'Cs4 Hg4 F12'
_cell_length_a 6.564
_cell_length_b 18.345
_cell_length_c 5.350
_cell_angle_alpha 90.00
_cell_angle_beta 90.00
_cell_angle_gamma 90.00
_space_group_name_H-M_alt 'C m c m'
_space_group_IT_number 63
_space_group_name_Hall '-C 2c 2'
loop_
_atom_site_label
_atom_site_fract_x
_atom_site_fract_y
_atom_site_fract_z
Cs1 0.000 0.185 0.250
Hg1 0.000 0.404 0.250
F1 0.000 0.500 0.000
F2 0.245 0.323 0.250
# Density of states at the Fermi level, states/eV/cell: 0.0

---

18.
# Cs2HgF (PBE-GGA, optimized geometry)
data_Cs2HgF
_chemical_formula_sum 'Cs2 Hg1 F1'
_cell_length_a 3.984
_cell_length_b 4.358
_cell_length_c 9.275
_cell_angle_alpha 103.53
_cell_angle_beta 90.23
_cell_angle_gamma 90.39
_space_group_name_H-M_alt 'P 1'
_space_group_IT_number 1
loop_
_space_group_symop_operation_xyz
'x,y,z'
loop_
_atom_site_label
_atom_site_fract_x
_atom_site_fract_y
_atom_site_fract_z
Cs1 0.000 0.000 0.000
Cs2 0.006 0.305 0.613
Hg1 0.504 0.644 0.290
F1 0.499 0.882 0.755
# Offset from the most stable computed form, kJ per mole of atoms: 8.3
# Density of states at the Fermi level, states/eV/cell: 2.2

---

| no. | raw total energy (eV/atom) | ΔE_f (raw) (eV per formula unit) | V (Å³ per cell) |
| --- | --- | --- | --- |
| 1 | -3.572 | -15.51 | 329.86 |
| 2 | -3.374 | -16.64 | 404.60 |
| 3 | -2.943 | -14.87 | 385.44 |
| 4 | -1.510 | -5.99 | 1099.05 |
| 5 | -3.324 | -9.85 | 224.57 |
| 6 | -2.341 | -5.48 | 378.13 |
| 7 | -2.906 | -26.46 | 655.14 |
| 8 | -1.852 | -5.53 | 1624.78 |
| 9 | -3.308 | -16.53 | 812.65 |
| 10 | -3.304 | -35.99 | 1098.00 |
| 11 | -3.309 | -9.78 | 213.17 |
| 12 | -2.302 | -5.33 | 483.19 |
| 13 | -3.532 | -15.23 | 325.43 |
| 14 | -1.862 | -5.13 | 455.68 |
| 15 | -2.114 | -5.13 | 266.65 |
| 16 | -1.932 | -4.40 | 664.21 |
| 17 | -3.228 | -9.37 | 644.17 |
| 18 | -2.297 | -5.31 | 156.58 |